Computed, not measured: a relaxed Er3In3NiRu2 crystal at the GGA-PBE level of DFT.

Lattice parameters (Å, degrees): 3.799 7.501 7.501 120.00 90.00 90.00
Positions (direct):
Er 0.000 0.592 0.592
Er 0.000 0.000 0.408
Er 0.000 0.408 0.000
In 0.500 0.254 0.254
In 0.500 0.746 0.000
In 0.500 0.000 0.746
Ru 0.500 0.667 0.333
Ru 0.500 0.333 0.667
Ni 0.000 0.000 0.000

Computed properties:
Energy relative to the elements ... -434 meV/atom
Space group ... P-62m, No. 189
ρ ... 9931 kg/m³
E ... -0.2047 Ha/atom
M_tot ... 0.0 μB/cell

***

Computed, not measured: a relaxed Cs2ZnPtCl6 crystal at the GGA-PBE level of DFT.

Lattice parameters (Å, degrees): 7.162 7.162 7.361 60.89 60.89 90.00
Positions (direct):
Cl 0.741 0.259 0.000
Cl 0.779 0.779 0.443
Cl 0.741 0.741 0.000
Cl 0.221 0.221 0.557
Cl 0.259 0.259 0.000
Cl 0.259 0.741 0.000
Cs 0.250 0.750 0.500
Cs 0.750 0.250 0.500
Zn 0.500 0.500 0.000
Pt 0.000 0.000 0.000

Computed properties:
Space group ... I4/mmm, No. 139
ρ ... 4479 kg/m³
E ... -0.1159 Ha/atom
M_tot ... 0.0 μB/cell